{"formula": "Sr4CdPb", "functional": "PBE", "state": "optimized geometry", "lattice_angstrom": [[5.6676, 0.0000, 0.0000], [0.0000, 5.6676, 0.0000], [0.0000, 0.0000, 8.3021]], "species": ["Sr", "Sr", "Sr", "Sr", "Cd", "Pb"], "fractional_positions": [[0.0000, 0.5000, 0.2464], [0.0000, 0.5000, 0.7536], [0.5000, 0.0000, 0.2464], [0.5000, 0.0000, 0.7536], [0.0000, 0.0000, 0.5000], [0.5000, 0.5000, 0.0000]], "formation_enthalpy_0k_ev_per_fu": -1.68, "dos_at_fermi_per_ev_atom": 0.963, "e_above_lowest_polymorph_ev_per_fu": 0.000}